--- 1 ---
Entry from the Alexandria database: an optimized crystal structure of Te2Ru2Cl (GGA-PBE).

The structure in POSCAR format:
```
Te2Ru2Cl
1.0
8.0565 0.0000 0.0000
0.0000 8.0565 0.0000
0.0000 0.0000 3.1455
Te Cl Ru
4 2 4
Direct
0.1463 0.3537 0.0000
0.6463 0.1463 0.0000
0.3537 0.8537 0.0000
0.8537 0.6463 0.0000
0.0000 0.0000 0.0000
0.5000 0.5000 0.0000
0.3734 0.1266 0.5000
0.6266 0.8734 0.5000
0.8734 0.3734 0.5000
0.1266 0.6266 0.5000
```

Properties
crystal system = tetragonal
theoretical density = 8.0 g/cm³
size of the total moment = 0.00 μB per formula unit
space group = No. 127
calculated volume = 204.2 Å³ per cell

--- 2 ---
Entry from the Alexandria database: an optimized crystal structure of Te2Ru2Cl (GGA-PBE).

The structure in POSCAR format:
```
Te2Ru2Cl
1.0
3.9677 0.0000 0.0000
0.0000 3.9677 0.0000
1.9839 1.9839 7.5418
Ru Te Cl
2 2 1
Direct
0.7500 0.2500 0.5000
0.2500 0.7500 0.5000
0.6372 0.6372 0.7257
0.3628 0.3628 0.2743
0.0000 0.0000 0.0000
```

Properties
crystal system = tetragonal
theoretical density = 6.9 g/cm³
size of the total moment = 0.00 μB per formula unit
space group = No. 139
calculated volume = 118.7 Å³ per cell

Which of them is the most stable, and which is the least stable? 2 and 1, in that order.

--- 1 ---
Entry from the Alexandria database: an optimized crystal structure of TeRu3Cl (GGA-PBE).

The structure in POSCAR format:
```
TeRu3Cl
1.0
-2.5023 -0.4456 -3.6675
-2.0148 -3.5483 1.8058
-3.0967 2.6687 1.7886
Te Ru Cl
1 3 1
Direct
0.5000 0.5000 0.5000
0.0000 0.5000 0.0000
0.0000 0.0000 0.5000
0.5000 0.0000 0.0000
0.0000 0.0000 0.0000
```

Properties
crystal system = cubic
theoretical density = 8.7 g/cm³
size of the total moment = 1.84 μB per formula unit
space group = No. 221
calculated volume = 88.8 Å³ per cell

--- 2 ---
Entry from the Alexandria database: an optimized crystal structure of TeRu3Cl (GGA-PBE).

The structure in POSCAR format:
```
TeRu3Cl
1.0
-0.4196 -0.8680 4.8412
-2.9457 -3.8465 -0.9450
3.9386 -2.9693 -0.1911
Te Ru Cl
1 3 1
Direct
0.0000 0.0000 0.0000
0.0000 0.0000 0.5000
0.5000 0.0000 0.0000
0.0000 0.5000 0.0000
0.5000 0.5000 0.5000
```

Properties
crystal system = cubic
theoretical density = 6.4 g/cm³
size of the total moment = 4.40 μB per formula unit
space group = No. 221
calculated volume = 120.3 Å³ per cell

Which of them is the most stable, and which is the least stable? 1 and 2, in that order.

--- 1 ---
Entry from the Alexandria database: an optimized crystal structure of Th2RuCl (GGA-PBE).

The structure in POSCAR format:
```
Th2RuCl
1.0
4.0491 -0.3008 -0.8410
-1.8991 3.6794 -0.2207
-0.4188 0.2351 7.9837
Th Cl Ru
2 1 1
Direct
0.9606 0.4817 0.4423
0.0394 0.0183 0.0577
0.5000 0.2500 0.7500
0.5000 0.7500 0.2500
```

Properties
crystal system = monoclinic
theoretical density = 8.8 g/cm³
size of the total moment = 0.00 μB per formula unit
space group = No. 12
calculated volume = 113.6 Å³ per cell

--- 2 ---
Entry from the Alexandria database: an optimized crystal structure of Th2RuCl (GGA-PBE).

The structure in POSCAR format:
```
Th2RuCl
1.0
4.1074 0.0000 0.0000
2.0537 3.5571 0.0000
2.0537 1.1857 7.8114
Cl Th Ru
1 2 1
Direct
0.4962 0.4962 0.5115
0.0648 0.0648 0.8057
0.2709 0.2709 0.1873
0.6682 0.6682 0.9955
```

Properties
crystal system = trigonal
theoretical density = 8.7 g/cm³
size of the total moment = 0.00 μB per formula unit
space group = No. 160
calculated volume = 114.1 Å³ per cell

Which of them is the most stable, and which is the least stable? 1 and 2, in that order.

--- 1 ---
Entry from the Alexandria database: an optimized crystal structure of TiRuCl2 (GGA-PBE).

The structure in POSCAR format:
```
TiRuCl2
1.0
-3.4856 -6.7313 3.0809
-1.8481 -5.7940 5.4742
-4.6053 -4.6042 4.9543
Ru Cl Ti
1 2 1
Direct
0.0000 0.0000 0.0000
0.9040 0.9040 0.9040
0.0960 0.0960 0.0960
0.5000 0.5000 0.5000
```

Properties
crystal system = trigonal
theoretical density = 5.7 g/cm³
size of the total moment = 0.00 μB per formula unit
space group = No. 166
calculated volume = 64.3 Å³ per cell

--- 2 ---
Entry from the Alexandria database: an optimized crystal structure of TiRuCl2 (GGA-PBE).

The structure in POSCAR format:
```
TiRuCl2
1.0
-5.3556 0.3486 0.9669
0.7105 -2.4513 4.8193
-1.6119 3.5982 5.1533
Cl Ru Ti
4 2 2
Direct
0.8750 0.8739 0.7500
0.1261 0.6250 0.2500
0.3750 0.3761 0.7500
0.6239 0.1250 0.2500
0.0000 0.0000 0.0000
0.7500 0.2500 0.5000
0.2500 0.7500 0.5000
0.5000 0.5000 0.0000
```

Properties
crystal system = tetragonal
theoretical density = 4.7 g/cm³
size of the total moment = 0.00 μB per formula unit
space group = No. 122
calculated volume = 155.2 Å³ per cell

Which of them is the most stable, and which is the least stable? 1 and 2, in that order.

--- 1 ---
Entry from the Alexandria database: an optimized crystal structure of TlRuCl2 (GGA-PBE).

The structure in POSCAR format:
```
TlRuCl2
1.0
3.4972 0.0000 0.0000
0.0000 5.9585 0.0000
0.0000 0.0000 4.4815
Tl Cl Ru
1 2 1
Direct
0.0000 0.5000 0.5000
0.5000 0.5000 0.0000
0.0000 0.0000 0.0000
0.5000 0.0000 0.5000
```

Properties
crystal system = orthorhombic
theoretical density = 6.7 g/cm³
size of the total moment = 2.89 μB per formula unit
space group = No. 47
calculated volume = 93.4 Å³ per cell

--- 2 ---
Entry from the Alexandria database: an optimized crystal structure of TlRuCl2 (GGA-PBE).

The structure in POSCAR format:
```
TlRuCl2
1.0
5.9911 0.0000 0.0000
0.0000 5.9911 0.0000
2.9955 2.9955 6.5560
Cl Tl Ru
4 2 2
Direct
0.8750 0.7550 0.7500
0.5050 0.1250 0.2500
0.3750 0.4950 0.7500
0.2450 0.6250 0.2500
0.7500 0.2500 0.5000
0.0000 0.0000 0.0000
0.5000 0.5000 0.0000
0.2500 0.7500 0.5000
```

Properties
crystal system = tetragonal
theoretical density = 5.3 g/cm³
size of the total moment = 0.85 μB per formula unit
space group = No. 122
calculated volume = 235.3 Å³ per cell

Which of them is the most stable, and which is the least stable? 2 and 1, in that order.

--- 1 ---
Entry from the Alexandria database: an optimized crystal structure of TlRuCl6 (GGA-PBE).

The structure in POSCAR format:
```
TlRuCl6
1.0
-2.7286 2.6278 -5.6550
-6.6907 0.4476 1.1675
1.1608 10.0606 3.8891
Tl Cl Ru
2 12 2
Direct
0.9896 0.0104 0.7500
0.0104 0.9896 0.2500
0.2677 0.5974 0.4077
0.8692 0.4713 0.3066
0.8062 0.8424 0.5054
0.1938 0.1576 0.4946
0.8424 0.8062 0.0054
0.4026 0.7323 0.0923
0.1576 0.1938 0.9946
0.5287 0.1308 0.1934
0.7323 0.4026 0.5923
0.4713 0.8692 0.8066
0.5974 0.2677 0.9077
0.1308 0.5287 0.6934
0.5000 0.0000 0.0000
0.0000 0.5000 0.5000
```

Properties
crystal system = monoclinic
theoretical density = 3.6 g/cm³
size of the total moment = 2.99 μB per formula unit
space group = No. 15
calculated volume = 482.8 Å³ per cell

--- 2 ---
Entry from the Alexandria database: an optimized crystal structure of TlRuCl6 (GGA-PBE).

The structure in POSCAR format:
```
TlRuCl6
1.0
6.7773 0.0000 0.0000
3.3887 5.8693 0.0000
3.3887 1.9564 6.1492
Cl Ru Tl
6 1 1
Direct
0.0880 0.0880 0.2188
0.3949 0.9120 0.7812
0.9120 0.9120 0.7812
0.0880 0.6051 0.2188
0.9120 0.3949 0.7812
0.6051 0.0880 0.2188
0.0000 0.0000 0.0000
0.5000 0.5000 0.5000
```

Properties
crystal system = trigonal
theoretical density = 3.5 g/cm³
size of the total moment = 3.10 μB per formula unit
space group = No. 166
calculated volume = 244.6 Å³ per cell

Which of them is the most stable, and which is the least stable? 1 and 2, in that order.